## SbP2Os (PBE)

Data for a relaxed structure of SbP2Os.

Output
- Magnetization: 0.00 μB/cell
- Uncorrected formation energy: 0.787 eV per atom
- Raw total energy: -5.7555 eV per atom

The structure in CIF format:
```
data_SbP2Os
_chemical_formula_sum 'Sb1 P2 Os1'
_cell_length_a 4.6328
_cell_length_b 4.6328
_cell_length_c 3.0309
_cell_angle_alpha 90.00
_cell_angle_beta 90.00
_cell_angle_gamma 90.00
_space_group_name_H-M_alt 'P 4/m m m'
_space_group_IT_number 123
_space_group_name_Hall '-P 4 2'
loop_
_atom_site_label
_atom_site_fract_x
_atom_site_fract_y
_atom_site_fract_z
Sb1 0.0000 0.0000 0.0000
P1 0.0000 0.5000 0.5000
Os1 0.5000 0.5000 0.0000
```